Compound: CsYTa2Cd
Source: the Alexandria database
Functional: meta-GGA SCAN
Structure: single point on PBEsol structure

a b c (Å): 5.1753 5.1753 5.6055
angles (deg): 90.00 90.00 90.00
Closest atoms and distances in Å follow each position.
Fractional coordinates of all 5 atoms:
Cs (0.0000, 0.0000, 0.0000)  4 Y 3.66, 8 Ta 3.81
Y (0.5000, 0.5000, 0.0000)  2 Cd 2.80
Ta (0.0000, 0.5000, 0.5000)  2 Cd 2.59
Ta (0.5000, 0.0000, 0.5000)  2 Cd 2.59
Cd (0.5000, 0.5000, 0.5000)  4 Ta 2.59, 2 Y 2.80

Computed properties:
Space group: P4/mmm
Size of the total moment (Bohr magnetons per cell): 1.425
Formation energy from the elements (eV/atom): 1.861
Calculated total energy (eV per atom): -43.986

***

Compound: RbAlOs2Pd
Source: the Alexandria database
Functional: meta-GGA SCAN
Structure: single point on PBEsol structure

a b c (Å): 4.5001 4.5001 5.3366
angles (deg): 90.00 90.00 90.00
Closest atoms and distances in Å follow each position.
Fractional coordinates of all 5 atoms:
Rb (0.0000, 0.0000, 0.0000)  2 Al 2.67
Al (0.0000, 0.0000, 0.5000)  4 Os 2.25
Os (0.0000, 0.5000, 0.5000)  2 Al 2.25
Os (0.5000, 0.0000, 0.5000)  2 Al 2.25
Pd (0.5000, 0.5000, 0.0000)  4 Rb 3.18, 8 Os 3.49

Computed properties:
Space group: P4/mmm
Size of the total moment (Bohr magnetons per cell): 0.057
Formation energy from the elements (eV/atom): 1.921
Calculated total energy (eV per atom): -39.084

***

Compound: FeP2Ir
Source: the Alexandria database
Functional: meta-GGA SCAN
Structure: single point on PBEsol structure

a b c (Å): 4.1889 4.1889 4.1889
angles (deg): 60.00 60.00 60.00
Closest atoms and distances in Å follow each position.
Fractional coordinates of all 4 atoms:
Fe (0.0000, 0.0000, 0.0000)  4 Ir 2.57, 4 P 2.57
P (0.2500, 0.2500, 0.2500)  4 Fe 2.57, 4 P 2.57
P (0.5000, 0.5000, 0.5000)  4 Ir 2.57, 4 P 2.57
Ir (0.7500, 0.7500, 0.7500)  4 Fe 2.57, 4 P 2.57

Computed properties:
Space group: F-43m
Excess energy over the best structure of this formula in the dataset (meV per atom): 699
Size of the total moment (Bohr magnetons per cell): 3.121
Formation energy from the elements (eV/atom): 0.483
Calculated total energy (eV per atom): -27.023

***

Compound: Tb5C2Br9
Source: the Alexandria database
Functional: meta-GGA SCAN
Structure: single point on PBEsol structure

a b c (Å): 9.9439 16.3121 13.2837
angles (deg): 90.00 121.65 90.00
Closest atoms and distances in Å follow each position.
Fractional coordinates of all 64 atoms:
Tb (0.0049, 0.0560, 0.2640)  1 C 2.21
Tb (0.0049, 0.4440, 0.7640)  1 C 2.21
Tb (0.0119, 0.6635, 0.7227)  2 C 2.44-2.52, 1 Br 2.71
Tb (0.0119, 0.8365, 0.2227)  2 C 2.44-2.52, 1 Br 2.71
Tb (0.1626, 0.0414, 0.0360)  4 C 2.50-2.66
Tb (0.1626, 0.4586, 0.5360)  4 C 2.50-2.66
Tb (0.2171, 0.6868, 0.5551)  1 C 2.21
Tb (0.2171, 0.8132, 0.0551)  1 C 2.21
Tb (0.3619, 0.5582, 0.8148)  2 C 2.45-2.52, 1 Br 2.71
Tb (0.3619, 0.9418, 0.3148)  2 C 2.45-2.52, 1 Br 2.71
Tb (0.6381, 0.0582, 0.6852)  2 C 2.45-2.52, 1 Br 2.71
Tb (0.6381, 0.4418, 0.1852)  2 C 2.45-2.52, 1 Br 2.71
Tb (0.7829, 0.1868, 0.9449)  1 C 2.21
Tb (0.7829, 0.3132, 0.4449)  1 C 2.21
Tb (0.8374, 0.5414, 0.4640)  4 C 2.50-2.66
Tb (0.8374, 0.9586, 0.9640)  4 C 2.50-2.66
Tb (0.9881, 0.1635, 0.7773)  2 C 2.44-2.52, 1 Br 2.71
Tb (0.9881, 0.3365, 0.2773)  2 C 2.44-2.52, 1 Br 2.71
Tb (0.9951, 0.5560, 0.2360)  1 C 2.21
Tb (0.9951, 0.9440, 0.7360)  1 C 2.21
C (0.0725, 0.5309, 0.6702)  1 C 1.42
C (0.0725, 0.9691, 0.1702)  1 C 1.42
C (0.1295, 0.5885, 0.6206)  1 C 1.42
C (0.1295, 0.9115, 0.1206)  1 C 1.42
C (0.8705, 0.0885, 0.8794)  1 C 1.42
C (0.8705, 0.4115, 0.3794)  1 C 1.42
C (0.9275, 0.0309, 0.8298)  1 C 1.42
C (0.9275, 0.4691, 0.3298)  1 C 1.42
Br (0.0836, 0.1982, 0.1705)  3 Tb 2.92-3.07
Br (0.0836, 0.3018, 0.6705)  3 Tb 2.92-3.07
Br (0.0906, 0.0693, 0.6510)  2 Tb 2.73-2.83
Br (0.0906, 0.4307, 0.1510)  2 Tb 2.73-2.83
Br (0.0978, 0.6923, 0.1402)  3 Tb 2.83-2.99
Br (0.0978, 0.8077, 0.6402)  3 Tb 2.83-2.99
Br (0.2858, 0.1739, 0.9688)  2 Tb 2.71-2.85
Br (0.2858, 0.3261, 0.4688)  2 Tb 2.71-2.85
Br (0.3028, 0.5674, 0.4428)  3 Tb 2.84-2.90
Br (0.3028, 0.9326, 0.9428)  3 Tb 2.84-2.90
Br (0.3068, 0.6829, 0.9408)  3 Tb 2.86-3.01
Br (0.3068, 0.8171, 0.4408)  3 Tb 2.86-3.01
Br (0.3189, 0.0589, 0.4602)  3 Tb 2.83-3.01
Br (0.3189, 0.4411, 0.9602)  3 Tb 2.83-3.01
Br (0.4711, 0.0640, 0.2378)  2 Tb 2.71-2.85
Br (0.4711, 0.4360, 0.7378)  2 Tb 2.71-2.85
Br (0.4901, 0.1810, 0.7440)  2 Tb 2.73-2.83
Br (0.4901, 0.3190, 0.2440)  2 Tb 2.73-2.83
Br (0.5099, 0.6810, 0.7560)  2 Tb 2.73-2.83
Br (0.5099, 0.8190, 0.2560)  2 Tb 2.73-2.83
Br (0.5289, 0.5640, 0.2622)  2 Tb 2.71-2.85
Br (0.5289, 0.9360, 0.7622)  2 Tb 2.71-2.85
Br (0.6811, 0.5589, 0.0398)  3 Tb 2.83-3.01
Br (0.6811, 0.9411, 0.5398)  3 Tb 2.83-3.01
Br (0.6932, 0.1829, 0.5592)  3 Tb 2.86-3.01
Br (0.6932, 0.3171, 0.0592)  3 Tb 2.86-3.01
Br (0.6972, 0.0674, 0.0572)  3 Tb 2.84-2.90
Br (0.6972, 0.4326, 0.5572)  3 Tb 2.84-2.90
Br (0.7142, 0.6739, 0.5312)  2 Tb 2.71-2.85
Br (0.7142, 0.8261, 0.0312)  2 Tb 2.71-2.85
Br (0.9022, 0.1923, 0.3598)  3 Tb 2.83-2.99
Br (0.9022, 0.3077, 0.8598)  3 Tb 2.83-2.99
Br (0.9094, 0.5693, 0.8490)  2 Tb 2.73-2.83
Br (0.9094, 0.9307, 0.3490)  2 Tb 2.73-2.83
Br (0.9164, 0.6982, 0.3295)  3 Tb 2.92-3.07
Br (0.9164, 0.8018, 0.8295)  3 Tb 2.92-3.07

Computed properties:
Space group: P2_1/c
Size of the total moment (Bohr magnetons per cell): 0.000
Formation energy without anion corrections (meV/atom): -1774
Calculated total energy (eV per atom): -28.596

***

Compound: Ti3BiAs
Source: the Alexandria database
Functional: meta-GGA SCAN
Structure: single point on PBEsol structure

a b c (Å): 4.7094 4.7094 4.7094
angles (deg): 90.00 90.00 90.00
Closest atoms and distances in Å follow each position.
Fractional coordinates of all 5 atoms:
Ti (0.0000, 0.0000, 0.5000)  2 As 2.35
Ti (0.0000, 0.5000, 0.0000)  2 As 2.35
Ti (0.5000, 0.0000, 0.0000)  2 As 2.35
Bi (0.5000, 0.5000, 0.5000)  12 Ti 3.33
As (0.0000, 0.0000, 0.0000)  6 Ti 2.35

Computed properties:
Space group: Pm-3m
Size of the total moment (Bohr magnetons per cell): 4.159
Formation energy from the elements (eV/atom): -0.072
Calculated total energy (eV per atom): -29.444

***

Compound: ScReIr2
Source: the Alexandria database
Functional: meta-GGA SCAN
Structure: single point on PBEsol structure

a b c (Å): 2.8024 3.9122 5.6205
angles (deg): 90.00 90.00 90.00
Closest atoms and distances in Å follow each position.
Fractional coordinates of all 4 atoms:
Sc (0.0000, 0.0000, 0.0000)  6 Ir 2.71-2.85, 2 Sc 2.80, 4 Re 2.96
Re (0.5000, 0.5000, 0.6928)  5 Ir 2.62-2.65, 2 Re 2.80
Ir (0.0000, 0.0000, 0.5065)  4 Re 2.62, 2 Sc 2.77-2.85, 6 Ir 2.80-2.89
Ir (0.5000, 0.5000, 0.2209)  2 Re 2.65-2.97, 4 Sc 2.71, 6 Ir 2.80-2.89

Computed properties:
Space group: Pmm2
Excess energy over the best structure of this formula in the dataset (meV per atom): 246
Size of the total moment (Bohr magnetons per cell): 0.000
Formation energy from the elements (eV/atom): -0.300
Calculated total energy (eV per atom): -57.183

***

Compound: Mg2CdAs2
Source: the Alexandria database
Functional: meta-GGA SCAN
Structure: single point on PBEsol structure

a b c (Å): 7.9437 7.9437 3.1631
angles (deg): 90.00 90.00 90.00
Closest atoms and distances in Å follow each position.
Fractional coordinates of all 10 atoms:
Mg (0.1405, 0.3595, 0.0000)  6 As 2.74-2.87
Mg (0.3595, 0.8595, 0.0000)  6 As 2.74-2.87
Mg (0.6405, 0.1405, 0.0000)  6 As 2.74-2.87
Mg (0.8595, 0.6405, 0.0000)  6 As 2.74-2.87
Cd (0.0000, 0.0000, 0.5000)  4 As 2.99, 2 Cd 3.16
Cd (0.5000, 0.5000, 0.5000)  4 As 2.99, 2 Cd 3.16
As (0.1600, 0.6600, 0.5000)  6 Mg 2.74-2.87, 2 Cd 2.99
As (0.3400, 0.1600, 0.5000)  6 Mg 2.74-2.87, 2 Cd 2.99
As (0.6600, 0.8400, 0.5000)  6 Mg 2.74-2.87, 2 Cd 2.99
As (0.8400, 0.3400, 0.5000)  6 Mg 2.74-2.87, 2 Cd 2.99

Computed properties:
Space group: P4/mbm
Excess energy over the best structure of this formula in the dataset (meV per atom): 54
Size of the total moment (Bohr magnetons per cell): 0.000
Formation energy from the elements (eV/atom): -0.270
Calculated total energy (eV per atom): -16.418

***

Compound: TiFeS2
Source: the Alexandria database
Functional: meta-GGA SCAN
Structure: single point on PBEsol structure

a b c (Å): 7.7228 7.7228 7.7228
angles (deg): 22.85 22.85 22.85
Closest atoms and distances in Å follow each position.
Fractional coordinates of all 4 atoms:
Ti (0.0000, 0.0000, 0.0000)  2 S 2.37
Fe (0.5000, 0.5000, 0.5000)  6 S 2.24
S (0.1053, 0.1053, 0.1053)  3 Fe 2.24, 1 Ti 2.37
S (0.8947, 0.8947, 0.8947)  3 Fe 2.24, 1 Ti 2.37

Computed properties:
Space group: R-3m
Excess energy over the best structure of this formula in the dataset (meV per atom): 534
Size of the total moment (Bohr magnetons per cell): 0.068
Formation energy without anion corrections (meV/atom): -250
Calculated total energy (eV per atom): -13.604

***

Compound: RbIrN2
Source: the Alexandria database
Functional: meta-GGA SCAN
Structure: single point on PBEsol structure

a b c (Å): 5.6758 5.6758 5.6758
angles (deg): 114.94 114.94 99.01
Closest atoms and distances in Å follow each position.
Fractional coordinates of all 8 atoms:
Rb (0.0000, 0.0000, 0.0000)  8 N 2.99-3.22
Rb (0.7500, 0.2500, 0.5000)  8 N 2.99-3.22
Ir (0.2500, 0.7500, 0.5000)  4 N 1.90
Ir (0.5000, 0.5000, 0.0000)  4 N 1.90
N (0.2680, 0.1250, 0.6430)  2 Ir 1.90
N (0.3750, 0.7320, 0.8570)  2 Ir 1.90
N (0.4820, 0.6250, 0.3570)  2 Ir 1.90
N (0.8750, 0.5180, 0.1430)  2 Ir 1.90

Computed properties:
Space group: I-42d
Excess energy over the best structure of this formula in the dataset (meV per atom): 0
Size of the total moment (Bohr magnetons per cell): 0.000
Formation energy without anion corrections (meV/atom): 255
Calculated total energy (eV per atom): -27.350

***

Compound: NaInCu2C
Source: the Alexandria database
Functional: meta-GGA SCAN
Structure: single point on PBEsol structure

a b c (Å): 4.7451 4.7451 5.7049
angles (deg): 90.00 90.00 90.00
Closest atoms and distances in Å follow each position.
Fractional coordinates of all 5 atoms:
Na (0.0000, 0.0000, 0.0000)  2 In 2.85
In (0.0000, 0.0000, 0.5000)  4 Cu 2.37
Cu (0.0000, 0.5000, 0.5000)  2 In 2.37
Cu (0.5000, 0.0000, 0.5000)  2 In 2.37
C (0.5000, 0.5000, 0.0000)  4 Na 3.36, 8 Cu 3.71

Computed properties:
Space group: P4/mmm
Size of the total moment (Bohr magnetons per cell): 1.968
Formation energy from the elements (eV/atom): 1.880
Calculated total energy (eV per atom): -13.740

***

Compound: KTe2CN
Source: the Alexandria database
Functional: meta-GGA SCAN
Structure: single point on PBEsol structure

a b c (Å): 6.5545 6.5545 2.6385
angles (deg): 90.00 90.00 90.00
Closest atoms and distances in Å follow each position.
Fractional coordinates of all 5 atoms:
K (0.0000, 0.0000, 0.0000)  2 K 2.64
Te (0.0000, 0.5000, 0.5000)  2 Te 2.64
Te (0.5000, 0.0000, 0.5000)  2 Te 2.64
C (0.5000, 0.5000, 0.5000)  2 N 1.32
N (0.5000, 0.5000, 0.0000)  2 C 1.32

Computed properties:
Space group: P4/mmm
Size of the total moment (Bohr magnetons per cell): 0.000
Formation energy without anion corrections (meV/atom): 524
Calculated total energy (eV per atom): -19.920

***

Compound: KCaTa2
Source: the Alexandria database
Functional: meta-GGA SCAN
Structure: single point on PBEsol structure

a b c (Å): 6.7503 6.7503 6.7503
angles (deg): 153.76 125.58 61.39
Closest atoms and distances in Å follow each position.
Fractional coordinates of all 4 atoms:
K (0.0000, 0.0000, 0.0000)  2 K 3.06
Ca (0.7106, 0.2106, 0.5000)  2 Ca 3.06, 2 Ta 3.42
Ta (0.2712, 0.7712, 0.5000)  2 Ta 2.55
Ta (0.4470, 0.4470, 0.0000)  2 Ta 2.55

Computed properties:
Space group: Imm2
Excess energy over the best structure of this formula in the dataset (meV per atom): 495
Size of the total moment (Bohr magnetons per cell): 0.001
Formation energy from the elements (eV/atom): 1.131
Calculated total energy (eV per atom): -36.659

***

Repeat the first record exactly.
Compound: CsYTa2Cd
Source: the Alexandria database
Functional: meta-GGA SCAN
Structure: single point on PBEsol structure

a b c (Å): 5.1753 5.1753 5.6055
angles (deg): 90.00 90.00 90.00
Closest atoms and distances in Å follow each position.
Fractional coordinates of all 5 atoms:
Cs (0.0000, 0.0000, 0.0000)  4 Y 3.66, 8 Ta 3.81
Y (0.5000, 0.5000, 0.0000)  2 Cd 2.80
Ta (0.0000, 0.5000, 0.5000)  2 Cd 2.59
Ta (0.5000, 0.0000, 0.5000)  2 Cd 2.59
Cd (0.5000, 0.5000, 0.5000)  4 Ta 2.59, 2 Y 2.80

Computed properties:
Space group: P4/mmm
Size of the total moment (Bohr magnetons per cell): 1.425
Formation energy from the elements (eV/atom): 1.861
Calculated total energy (eV per atom): -43.986

***

Question: Which of these has the highest calculated total energy?
Answer: TiFeS2

***

Question: Which value of size of the total moment does entry 9 give?
Answer: 0.000 Bohr magnetons per cell

***

Question: What is the formula in the sixth record?
Answer: ScReIr2